1.
Entry from OQMD via LeMat-Bulk: crystalline MgZr2Cd at its relaxed geometry (PBE).

Summary:
Total DFT energy (no corrections): -4.98 eV per atom

The structure in POSCAR format:
```
MgZr2Cd
1.0
3.1368 0.0000 0.0000
0.0000 3.1368 0.0000
0.0000 0.0000 8.9862
Mg Zr Cd
1 2 1
Direct
0.0000 0.0000 0.0000
0.0000 0.0000 0.5149
0.5000 0.5000 0.2625
0.5000 0.5000 0.7691
```

---

2.
Entry from OQMD via LeMat-Bulk: crystalline SrAsAu2 at its relaxed geometry (PBE).

Summary:
Total DFT energy (no corrections): -3.56 eV per atom

The structure in POSCAR format:
```
SrAsAu2
1.0
7.0535 0.0000 0.0000
0.0000 7.0535 0.0000
0.0000 0.0000 7.0535
Sr As Au
4 4 8
Direct
0.0000 0.0000 0.0000
0.0000 0.5000 0.5000
0.5000 0.0000 0.5000
0.5000 0.5000 0.0000
0.2500 0.2500 0.2500
0.2500 0.7500 0.7500
0.7500 0.2500 0.7500
0.7500 0.7500 0.2500
0.0000 0.0000 0.5000
0.0000 0.5000 0.0000
0.2500 0.2500 0.7500
0.2500 0.7500 0.2500
0.5000 0.0000 0.0000
0.5000 0.5000 0.5000
0.7500 0.2500 0.2500
0.7500 0.7500 0.7500
```

---

3.
Entry from OQMD via LeMat-Bulk: crystalline GaIr2 at its relaxed geometry (PBE).

Summary:
Total DFT energy (no corrections): -3.97 eV per atom

The structure in POSCAR format:
```
GaIr2
1.0
0.0000 5.4357 5.4357
5.4357 0.0000 5.4357
5.4357 5.4357 0.0000
Ga Ir
2 4
Direct
0.1250 0.1250 0.1250
0.8750 0.8750 0.8750
0.0000 0.0000 0.0000
0.0000 0.0000 0.5000
0.0000 0.5000 0.0000
0.5000 0.0000 0.0000
```

---

4.
Entry from OQMD via LeMat-Bulk: crystalline Cu7Ag at its relaxed geometry (PBE).

Summary:
Energy relative to the elements: 51 meV per atom
Excess energy over the best structure of this formula in the dataset: 9 meV/atom
Total DFT energy (no corrections): -3.55 eV per atom

The structure in POSCAR format:
```
Cu7Ag
1.0
7.2362 0.0000 0.0000
0.0000 10.4964 0.0000
0.0000 0.0000 2.6460
Cu Ag
14 2
Direct
0.0000 0.0000 0.0000
0.0000 0.2501 0.0000
0.0000 0.7499 0.0000
0.2370 0.1292 0.5000
0.2370 0.8708 0.5000
0.2630 0.3708 0.5000
0.2630 0.6292 0.5000
0.5000 0.2499 0.0000
0.5000 0.5000 0.0000
0.5000 0.7501 0.0000
0.7370 0.3708 0.5000
0.7370 0.6292 0.5000
0.7630 0.1292 0.5000
0.7630 0.8708 0.5000
0.0000 0.5000 0.0000
0.5000 0.0000 0.0000
```

---

5.
Entry from OQMD via LeMat-Bulk: crystalline Cs3TmBr6 at its relaxed geometry (PBE).

Summary:
Excess energy over the best structure of this formula in the dataset: 41 meV/atom
Total DFT energy (no corrections): -3.54 eV per atom

The structure in POSCAR format:
```
Cs3TmBr6
1.0
0.0000 6.1087 6.1087
6.1087 0.0000 6.1087
6.1087 6.1087 0.0000
Cs Tm Br
3 1 6
Direct
0.0000 0.0000 0.0000
0.2500 0.2500 0.2500
0.7500 0.7500 0.7500
0.5000 0.5000 0.5000
0.2751 0.2751 0.7249
0.2751 0.7249 0.2751
0.2751 0.7249 0.7249
0.7249 0.2751 0.2751
0.7249 0.2751 0.7249
0.7249 0.7249 0.2751
```

---

6.
Entry from OQMD via LeMat-Bulk: crystalline NdAlGe at its relaxed geometry (PBE).

Summary:
Total DFT energy (no corrections): -5.06 eV per atom

The structure in POSCAR format:
```
NdAlGe
1.0
4.2733 0.0000 0.0000
0.0000 4.2733 0.0000
0.0000 0.0000 14.7421
Nd Al Ge
4 4 4
Direct
0.0000 0.0000 0.0000
0.0000 0.5000 0.2500
0.5000 0.0000 0.7500
0.5000 0.5000 0.5000
0.0000 0.0000 0.4160
0.0000 0.5000 0.6660
0.5000 0.0000 0.1660
0.5000 0.5000 0.9160
0.0000 0.0000 0.5822
0.0000 0.5000 0.8322
0.5000 0.0000 0.3322
0.5000 0.5000 0.0822
```